DFT (PBE-GGA) results for a geometry-optimized TmNi2P2 structure.

Cell: 3.8559 3.8559 5.3964 Å, 111.00 111.00 89.94°
With the nearest neighbours (Å) after each atom.
Element x y z (fractional)
1 Ni 0.7494 0.2506 0.5000  4 P 2.26-2.27
2 Ni 0.2506 0.7494 0.5000  4 P 2.26-2.27
3 Tm 0.0000 0.0000 0.0000  8 P 2.95-2.96, 8 Ni 3.02
4 P 0.6227 0.6227 0.2442  4 Ni 2.26-2.27, 1 P 2.27
5 P 0.3773 0.3773 0.7558  4 Ni 2.26-2.27, 1 P 2.27

Output
Crystal system = tetragonal
Space group = No. 139
Formation enthalpy at 0 K = -23.07 kcal/mol of atoms
Calculated volume = 13.8 Å³ per atom